Entry 1:
# TaNiHg | Alexandria | PBEsol | relaxed
# Formation enthalpy at 0 K = 0.8002 eV/atom
# Uncorrected energy = -5.62 eV per atom
# Density = 12.8 g/cm³
# Total magnetization = 0.0 μB per cell
# Density of states at the Fermi level = 3.18 states/eV/cell
data_TaNiHg
_chemical_formula_sum 'Ta1 Ni1 Hg1'
_cell_length_a 4.323
_cell_length_b 4.323
_cell_length_c 4.323
_cell_angle_alpha 60.00
_cell_angle_beta 60.00
_cell_angle_gamma 60.00
_space_group_name_H-M_alt 'P 1'
_space_group_IT_number 1
_space_group_name_Hall 'P 1'
loop_
_atom_site_label
_atom_site_fract_x
_atom_site_fract_y
_atom_site_fract_z
Ta1 0.250 0.250 0.250
Ni1 0.500 0.500 0.500
Hg1 0.000 0.000 0.000

***

Entry 2:
# Tc2OsCl | Alexandria | PBEsol | relaxed
# Uncorrected energy = -8.63 eV per atom
# Uncorrected formation energy = 0.555 eV/atom
# Density = 12.7 g/cm³
# Total magnetization = 0.0 μB per cell
# Density of states at the Fermi level = 3.27 states/eV/cell
# Energy above the most stable polymorph in this dataset = 0 meV per atom
data_Tc2OsCl
_chemical_formula_sum 'Tc2 Os1 Cl1'
_cell_length_a 2.815
_cell_length_b 3.918
_cell_length_c 5.190
_cell_angle_alpha 90.00
_cell_angle_beta 105.29
_cell_angle_gamma 90.00
_space_group_name_H-M_alt 'P 1'
_space_group_IT_number 1
_space_group_name_Hall 'P 1'
loop_
_atom_site_label
_atom_site_fract_x
_atom_site_fract_y
_atom_site_fract_z
Cl1 0.500 0.500 0.000
Tc1 0.863 0.000 0.240
Tc2 0.137 0.000 0.760
Os1 0.500 0.500 0.500

***

Entry 3:
# Mg3Al18W2 | Alexandria | PBEsol | relaxed
# Formation enthalpy at 0 K = -0.0973 eV/atom
# Uncorrected energy = -4.72 eV per atom
# Density = 4.0 g/cm³
# Total magnetization = 0.0 μB per cell
# Density of states at the Fermi level = 16.26 states/eV/cell
data_Mg3Al18W2
_chemical_formula_sum 'Mg6 Al36 W4'
_cell_length_a 10.324
_cell_length_b 10.324
_cell_length_c 10.324
_cell_angle_alpha 60.00
_cell_angle_beta 60.00
_cell_angle_gamma 60.00
_space_group_name_H-M_alt 'P 1'
_space_group_IT_number 1
_space_group_name_Hall 'P 1'
loop_
_atom_site_label
_atom_site_fract_x
_atom_site_fract_y
_atom_site_fract_z
Al1 0.893 0.607 0.607
Al2 0.802 0.330 0.066
Al3 0.920 0.448 0.184
Al4 0.184 0.448 0.448
Mg1 0.000 0.000 0.000
W1 0.625 0.625 0.625
Al5 0.802 0.330 0.802
Al6 0.920 0.448 0.448
Al7 0.357 0.643 0.357
Al8 0.448 0.920 0.184
Mg2 0.125 0.125 0.625
Al9 0.893 0.893 0.607
Al10 0.357 0.643 0.643
Al11 0.184 0.920 0.448
Al12 0.607 0.893 0.893
Mg3 0.625 0.125 0.125
W2 0.625 0.125 0.625
Al13 0.066 0.330 0.802
Al14 0.448 0.184 0.920
Mg4 0.250 0.250 0.250
Al15 0.607 0.893 0.607
Al16 0.920 0.184 0.448
Al17 0.448 0.184 0.448
Al18 0.357 0.357 0.643
Al19 0.893 0.607 0.893
Mg5 0.125 0.125 0.125
Al20 0.330 0.802 0.802
Al21 0.448 0.448 0.184
Al22 0.802 0.802 0.330
Al23 0.802 0.066 0.330
Al24 0.643 0.357 0.357
Mg6 0.125 0.625 0.125
Al25 0.802 0.802 0.066
Al26 0.802 0.066 0.802
Al27 0.448 0.448 0.920
Al28 0.066 0.802 0.330
Al29 0.066 0.802 0.802
Al30 0.643 0.357 0.643
Al31 0.448 0.920 0.448
Al32 0.184 0.448 0.920
Al33 0.607 0.607 0.893
Al34 0.330 0.066 0.802
W3 0.125 0.625 0.625
Al35 0.643 0.643 0.357
W4 0.625 0.625 0.125
Al36 0.330 0.802 0.066

***

Entry 4:
# Ni3SnP | Alexandria | PBEsol | relaxed
# Formation enthalpy at 0 K = -0.0586 eV/atom
# Uncorrected energy = -5.76 eV per atom
# Density = 7.4 g/cm³
# Total magnetization = 0.0 μB per cell
# Density of states at the Fermi level = 4.59 states/eV/cell
# Energy above the most stable polymorph in this dataset = 0 meV per atom
data_Ni3SnP
_chemical_formula_sum 'Ni3 Sn1 P1'
_cell_length_a 4.184
_cell_length_b 4.184
_cell_length_c 4.184
_cell_angle_alpha 90.00
_cell_angle_beta 90.00
_cell_angle_gamma 90.00
_space_group_name_H-M_alt 'P 1'
_space_group_IT_number 1
_space_group_name_Hall 'P 1'
loop_
_atom_site_label
_atom_site_fract_x
_atom_site_fract_y
_atom_site_fract_z
Ni1 0.000 0.500 0.000
P1 0.000 0.000 0.000
Ni2 0.500 0.000 0.000
Ni3 0.000 0.000 0.500
Sn1 0.500 0.500 0.500

***

Entry 5:
# CdGa3Rh | Alexandria | PBEsol | relaxed
# Formation enthalpy at 0 K = 1.0945 eV/atom
# Uncorrected energy = -2.78 eV per atom
# Density = 6.2 g/cm³
# Total magnetization = 0.0 μB per cell
# Density of states at the Fermi level = 5.93 states/eV/cell
data_CdGa3Rh
_chemical_formula_sum 'Cd1 Ga3 Rh1'
_cell_length_a 4.840
_cell_length_b 4.840
_cell_length_c 4.840
_cell_angle_alpha 90.00
_cell_angle_beta 90.00
_cell_angle_gamma 90.00
_space_group_name_H-M_alt 'P 1'
_space_group_IT_number 1
_space_group_name_Hall 'P 1'
loop_
_atom_site_label
_atom_site_fract_x
_atom_site_fract_y
_atom_site_fract_z
Ga1 0.000 0.000 0.500
Cd1 0.000 0.000 0.000
Ga2 0.000 0.500 0.000
Rh1 0.500 0.500 0.500
Ga3 0.500 0.000 0.000

***

Entry 6:
# BeGeMo2Ir | Alexandria | PBEsol | relaxed
# Formation enthalpy at 0 K = 1.3709 eV/atom
# Uncorrected energy = -7.09 eV per atom
# Density = 9.6 g/cm³
# Total magnetization = 1.6 μB per cell
# Density of states at the Fermi level = 7.27 states/eV/cell
data_BeGeMo2Ir
_chemical_formula_sum 'Be1 Ge1 Mo2 Ir1'
_cell_length_a 3.840
_cell_length_b 4.582
_cell_length_c 4.582
_cell_angle_alpha 90.00
_cell_angle_beta 90.00
_cell_angle_gamma 90.00
_space_group_name_H-M_alt 'P 1'
_space_group_IT_number 1
_space_group_name_Hall 'P 1'
loop_
_atom_site_label
_atom_site_fract_x
_atom_site_fract_y
_atom_site_fract_z
Ir1 0.500 0.500 0.500
Mo1 0.000 0.000 0.500
Mo2 0.000 0.500 0.000
Be1 0.500 0.000 0.000
Ge1 0.000 0.000 0.000

***

Entry 7:
# Y3Ni | Alexandria | PBEsol | relaxed
# Formation enthalpy at 0 K = -0.2356 eV/atom
# Uncorrected energy = -6.89 eV per atom
# Density = 5.4 g/cm³
# Total magnetization = 0.0 μB per cell
# Density of states at the Fermi level = 17.84 states/eV/cell
data_Y3Ni
_chemical_formula_sum 'Y12 Ni4'
_cell_length_a 6.257
_cell_length_b 6.759
_cell_length_c 9.467
_cell_angle_alpha 90.00
_cell_angle_beta 90.00
_cell_angle_gamma 90.00
_space_group_name_H-M_alt 'P 1'
_space_group_IT_number 1
_space_group_name_Hall 'P 1'
loop_
_atom_site_label
_atom_site_fract_x
_atom_site_fract_y
_atom_site_fract_z
Y1 0.321 0.678 0.434
Y2 0.679 0.322 0.934
Y3 0.179 0.178 0.434
Ni1 0.447 0.390 0.250
Y4 0.321 0.678 0.066
Y5 0.361 0.967 0.750
Y6 0.821 0.822 0.934
Y7 0.861 0.533 0.250
Y8 0.139 0.467 0.750
Y9 0.179 0.178 0.066
Ni2 0.553 0.610 0.750
Y10 0.821 0.822 0.566
Y11 0.679 0.322 0.566
Ni3 0.947 0.110 0.750
Ni4 0.053 0.890 0.250
Y12 0.639 0.033 0.250

***

Entry 8:
# LiAs2PtBr | Alexandria | PBEsol | relaxed
# Uncorrected energy = -3.53 eV per atom
# Uncorrected formation energy = 0.674 eV/atom
# Density = 7.9 g/cm³
# Total magnetization = 0.0 μB per cell
# Density of states at the Fermi level = 3.10 states/eV/cell
data_LiAs2PtBr
_chemical_formula_sum 'Li1 As2 Pt1 Br1'
_cell_length_a 4.479
_cell_length_b 4.479
_cell_length_c 4.517
_cell_angle_alpha 90.00
_cell_angle_beta 90.00
_cell_angle_gamma 90.00
_space_group_name_H-M_alt 'P 1'
_space_group_IT_number 1
_space_group_name_Hall 'P 1'
loop_
_atom_site_label
_atom_site_fract_x
_atom_site_fract_y
_atom_site_fract_z
As1 0.500 0.000 0.000
Br1 0.000 0.000 0.500
Pt1 0.500 0.500 0.500
Li1 0.000 0.000 0.000
As2 0.000 0.500 0.000